Record 1
The following is a DFT calculation (GGA-PBE) of a geometry-optimized Rb4Np3TiSe8 structure.

```
Rb4Np3TiSe8
1.0
-4.9730 -0.1447 -6.7206
-7.4667 -0.9983 5.5466
4.8743 6.6372 1.4520
Se Np Rb Ti
8 3 4 1
Direct
0.7333 0.7000 0.4666 Se
0.2539 0.3094 0.0316 Se
0.2223 0.6906 0.9684 Se
0.2223 0.6906 0.4446 Se
0.2667 0.3000 0.5334 Se
0.7777 0.3094 0.5554 Se
0.7461 0.6906 0.9684 Se
0.7777 0.3094 0.0316 Se
0.5000 0.5000 0.5000 Np
0.0000 0.5000 0.5000 Np
0.5000 0.5000 0.0000 Np
0.0000 0.0000 0.0000 Rb
0.0000 0.0000 0.5000 Rb
0.5000 0.0000 0.0000 Rb
0.5000 0.0000 0.5000 Rb
0.0000 0.5000 0.0000 Ti
```

Properties
Spin magnetization, Bohr magnetons per cell: 13.00
Uncorrected formation energy, eV per atom: -1.2020

Record 2
The following is a DFT calculation (GGA-PBE) of a geometry-optimized Rb2Np2TiSe6 structure.

```
Rb2Np2TiSe6
1.0
-6.9575 -0.3409 -0.2921
3.4135 -3.5871 4.9081
0.6840 7.7857 3.4962
Se Np Ti Rb
6 2 1 2
Direct
0.2471 0.2471 0.3132 Se
0.9335 0.6221 0.3118 Se
0.0665 0.3779 0.6882 Se
0.3779 0.0665 0.6882 Se
0.6221 0.9335 0.3118 Se
0.7529 0.7529 0.6868 Se
0.6670 0.3330 0.5000 Np
0.3330 0.6670 0.5000 Np
0.0000 0.0000 0.5000 Ti
0.8294 0.1706 0.0000 Rb
0.1706 0.8294 0.0000 Rb
```

Properties
Spin magnetization, Bohr magnetons per cell: 8.00
Uncorrected formation energy, eV per atom: -1.2094

Record 3
The following is a DFT calculation (GGA-PBE) of a geometry-optimized RbNpTiSe4 structure.

```
RbNpTiSe4
1.0
-0.4246 4.8799 4.8534
-6.1865 1.9982 -2.5504
-3.9804 -8.0036 3.3845
Se Rb Np Ti
8 2 2 2
Direct
0.4339 0.7500 0.1744 Se
0.5661 0.2500 0.8256 Se
0.9844 0.4893 0.2950 Se
0.5581 0.2500 0.4205 Se
0.9844 0.0107 0.2950 Se
0.0156 0.9893 0.7050 Se
0.0156 0.5107 0.7050 Se
0.4419 0.7500 0.5795 Se
0.2638 0.2500 0.0598 Rb
0.7362 0.7500 0.9402 Rb
0.2194 0.2500 0.5485 Np
0.7806 0.7500 0.4515 Np
0.2266 0.7500 0.3324 Ti
0.7734 0.2500 0.6676 Ti
```

Properties
Spin magnetization, Bohr magnetons per cell: 8.00
Uncorrected formation energy, eV per atom: -1.1656